A plane-wave DFT calculation with PBE-GGA was carried out for crystalline LaPr3Ir at its relaxed geometry.

## Properties
The calculated total energy comes out at -5.86 eV per atom. For the spin magnetization, the calculation gives 0.00 μB/f.u. Its relative energy among the computed polymorphs is 0.018 eV/atom. The energy of formation comes out at -0.233 eV per atom. The volume is 658.94 Å³ per cell.

Cell lengths 9.9516, 10.3103, 6.8945 Å; angles 90.00, 111.33, 90.00 degrees
Space group C2/m (No. 12)
Inequivalent atoms, fractional coordinates:
La1 0.0669 0.0000 0.2645 x4
Pr1 0.0651 0.5000 0.2641 x4
Pr2 0.1843 0.2505 0.7355 x8
Ir1 0.2460 0.0000 0.9963 x4